1.
Below is a geometry-optimized LiNd3Th2Te6 structure, with properties calculated at the GGA-PBE level.

```
data_LiNd3Th2Te6
_symmetry_space_group_name_H-M 'P 1'
_symmetry_Int_Tables_number 1
_cell_length_a 9.978
_cell_length_b 9.978
_cell_length_c 8.932
_cell_angle_alpha 103.50
_cell_angle_beta 103.50
_cell_angle_gamma 25.77
loop_
_symmetry_equiv_pos_as_xyz
'x,y,z'
loop_
_atom_site_label
_atom_site_fract_x
_atom_site_fract_y
_atom_site_fract_z
Li1 0.000 0.000 0.000
Nd1 0.000 0.000 0.500
Nd2 0.329 0.329 0.164
Nd3 0.671 0.671 0.836
Th1 0.329 0.329 0.655
Th2 0.671 0.671 0.345
Te1 0.158 0.158 0.084
Te2 0.164 0.164 0.589
Te3 0.498 0.498 0.762
Te4 0.502 0.502 0.238
Te5 0.836 0.836 0.411
Te6 0.842 0.842 0.916
```

Results
The calculation puts the uncorrected formation energy at -15.12 eV/f.u. Its density of states at the Fermi level is 6.85 states/eV/cell.

=====

2.
Below is a geometry-optimized Cs3TlCd2Br9 structure, with properties calculated at the GGA-PBE level.

```
data_Cs3TlCd2Br9
_symmetry_space_group_name_H-M 'P 1'
_symmetry_Int_Tables_number 1
_cell_length_a 8.060
_cell_length_b 8.060
_cell_length_c 9.878
_cell_angle_alpha 90.00
_cell_angle_beta 90.00
_cell_angle_gamma 120.00
loop_
_symmetry_equiv_pos_as_xyz
'x,y,z'
loop_
_atom_site_label
_atom_site_fract_x
_atom_site_fract_y
_atom_site_fract_z
Cs1 0.000 0.000 0.000
Cs2 0.333 0.667 0.668
Cs3 0.667 0.333 0.332
Tl1 0.000 0.000 0.500
Cd1 0.333 0.667 0.160
Cd2 0.667 0.333 0.840
Br1 0.000 0.500 0.000
Br2 0.172 0.345 0.328
Br3 0.172 0.828 0.328
Br4 0.345 0.172 0.672
Br5 0.500 0.000 0.000
Br6 0.500 0.500 0.000
Br7 0.655 0.828 0.328
Br8 0.828 0.172 0.672
Br9 0.828 0.655 0.672
```

Results
The calculation puts the uncorrected formation energy at -17.75 eV/f.u. Its density of states at the Fermi level is 2.15 states/eV/cell.

=====

3.
Below is a geometry-optimized AlSn3S structure, with properties calculated at the GGA-PBE level.

```
data_AlSn3S
_symmetry_space_group_name_H-M 'P 1'
_symmetry_Int_Tables_number 1
_cell_length_a 5.261
_cell_length_b 5.261
_cell_length_c 5.261
_cell_angle_alpha 90.00
_cell_angle_beta 90.00
_cell_angle_gamma 90.00
loop_
_symmetry_equiv_pos_as_xyz
'x,y,z'
loop_
_atom_site_label
_atom_site_fract_x
_atom_site_fract_y
_atom_site_fract_z
Al1 0.000 0.000 0.000
Sn1 0.000 0.000 0.500
Sn2 0.000 0.500 0.000
Sn3 0.500 0.000 0.000
S1 0.500 0.500 0.500
```

Results
The calculation puts the uncorrected formation energy at 2.54 eV/f.u. Its density of states at the Fermi level is 2.46 states/eV/cell. The energy above the most stable polymorph in this dataset is 94 meV per atom.